(1)
Compound: Mn2NbCoH
Source: Alexandria
Functional: PBE-GGA
Structure: optimized geometry

The magnetic moment comes out at 3.0 μB/cell. The value obtained for the density of states at the Fermi level is 0.85 states/eV/atom. The calculation puts the electronic total energy at -7.77 eV/atom.

It has space group P4/mmm (No. 123), with a = 3.6607 Å, b = 3.6607 Å, c = 4.0024 Å, α = 90.00°, β = 90.00° and γ = 90.00°. The inequivalent atoms are Mn at (0.0000, 0.5000, 0.0000), Nb at (0.0000, 0.0000, 0.5000), Co at (0.5000, 0.5000, 0.5000) and H at (0.0000, 0.0000, 0.0000).


(2)
Compound: Mn2NbCoH
Source: Alexandria
Functional: PBE-GGA
Structure: optimized geometry

The magnetic moment comes out at 2.7 μB/cell. The value obtained for the density of states at the Fermi level is 0.86 states/eV/atom. The calculation puts the electronic total energy at -7.81 eV/atom.

It has space group P4/mmm (No. 123), with a = 3.7821 Å, b = 3.7821 Å, c = 3.6724 Å, α = 90.00°, β = 90.00° and γ = 90.00°. The inequivalent atoms are Mn at (0.0000, 0.5000, 0.0000), Nb at (0.0000, 0.0000, 0.5000), Co at (0.5000, 0.5000, 0.5000) and H at (0.5000, 0.5000, 0.0000).


(3)
Compound: MnNbCo2H
Source: Alexandria
Functional: PBE-GGA
Structure: optimized geometry

The magnetic moment comes out at 1.4 μB/cell. The value obtained for the density of states at the Fermi level is 0.87 states/eV/atom. The calculation puts the electronic total energy at -7.41 eV/atom.

It has space group P4/mmm (No. 123), with a = 3.6463 Å, b = 3.6463 Å, c = 3.9291 Å, α = 90.00°, β = 90.00° and γ = 90.00°. The inequivalent atoms are Mn at (0.0000, 0.0000, 0.0000), Nb at (0.5000, 0.5000, 0.0000), Co at (0.0000, 0.5000, 0.5000) and H at (0.5000, 0.5000, 0.5000).


(4)
Compound: MnNb2CoH
Source: Alexandria
Functional: PBE-GGA
Structure: optimized geometry

The magnetic moment comes out at 0.4 μB/cell. The value obtained for the density of states at the Fermi level is 0.88 states/eV/atom. The calculation puts the electronic total energy at -8.00 eV/atom.

It has space group P4/mmm (No. 123), with a = 4.2316 Å, b = 4.2316 Å, c = 3.3511 Å, α = 90.00°, β = 90.00° and γ = 90.00°. The inequivalent atoms are Mn at (0.0000, 0.0000, 0.0000), Nb at (0.0000, 0.5000, 0.5000), Co at (0.5000, 0.5000, 0.0000) and H at (0.5000, 0.5000, 0.5000).


(5)
Compound: MnNb2CoH
Source: Alexandria
Functional: PBE-GGA
Structure: optimized geometry

The magnetic moment comes out at 0.5 μB/cell. The value obtained for the density of states at the Fermi level is 0.89 states/eV/atom. The calculation puts the electronic total energy at -7.97 eV/atom.

It has space group P4/mmm (No. 123), with a = 4.1963 Å, b = 4.1963 Å, c = 3.4263 Å, α = 90.00°, β = 90.00° and γ = 90.00°. The inequivalent atoms are Mn at (0.0000, 0.0000, 0.0000), Nb at (0.0000, 0.5000, 0.5000), Co at (0.5000, 0.5000, 0.0000) and H at (0.0000, 0.0000, 0.5000).


(6)
Compound: Mn2CoNiH
Source: Alexandria
Functional: PBE-GGA
Structure: optimized geometry

The magnetic moment comes out at 4.7 μB/cell. The value obtained for the density of states at the Fermi level is 1.07 states/eV/atom. The calculation puts the electronic total energy at -6.87 eV/atom.

It has space group P4/mmm (No. 123), with a = 3.6298 Å, b = 3.6298 Å, c = 3.5274 Å, α = 90.00°, β = 90.00° and γ = 90.00°. The inequivalent atoms are Mn at (0.0000, 0.5000, 0.0000), Co at (0.0000, 0.0000, 0.5000), Ni at (0.5000, 0.5000, 0.5000) and H at (0.0000, 0.0000, 0.0000).


(7)
Compound: Mn2CoNiH
Source: Alexandria
Functional: PBE-GGA
Structure: optimized geometry

The magnetic moment comes out at 5.2 μB/cell. The value obtained for the density of states at the Fermi level is 1.07 states/eV/atom. The calculation puts the electronic total energy at -6.85 eV/atom.

It has space group P4/mmm (No. 123), with a = 3.6527 Å, b = 3.6527 Å, c = 3.5107 Å, α = 90.00°, β = 90.00° and γ = 90.00°. The inequivalent atoms are Mn at (0.0000, 0.5000, 0.0000), Co at (0.0000, 0.0000, 0.5000), Ni at (0.5000, 0.5000, 0.5000) and H at (0.5000, 0.5000, 0.0000).


(8)
Compound: Mn2CoNiH5
Source: Alexandria
Functional: PBE-GGA
Structure: optimized geometry

The magnetic moment comes out at 26.7 μB/cell. The value obtained for the density of states at the Fermi level is 0.48 states/eV/atom. The calculation puts the electronic total energy at -5.30 eV/atom.

It has space group Cmc2_1 (No. 36), with a = 2.7029 Å, b = 10.3701 Å, c = 8.5226 Å, α = 90.00°, β = 90.00° and γ = 90.00°. The inequivalent atoms are Mn at (0.0000, 0.1216, 0.0000), Mn at (0.0000, 0.1365, 0.5435), Co at (0.0000, 0.2420, 0.2713), Ni at (0.0000, 0.4859, 0.7489), H at (0.0000, 0.0774, 0.3366), H at (0.0000, 0.2773, 0.9121), H at (0.0000, 0.2945, 0.6468), H at (0.0000, 0.3842, 0.3592) and H at (0.0000, 0.4887, 0.0566).